Density functional theory data (PBE-GGA) for an optimized crystal structure of Li3HfNp2Te6.

Computed properties:
space-group type: C2/m (12)
E_form (uncorrected): -0.80 eV per atom

a b c (Å): 7.378 7.378 7.492
angles (deg): 99.46 99.46 120.03
Last column: magnetic moment on the atom in μB.
Element x y z (fractional)
Te: 0.769 0.769 0.253  -0.06
Te: 0.231 0.231 0.747  -0.06
Te: 0.086 0.401 0.256  -0.05
Te: 0.401 0.086 0.256  -0.05
Te: 0.914 0.599 0.744  -0.05
Te: 0.599 0.914 0.744  -0.05
Np: 0.667 0.333 0.000  4.09
Np: 0.333 0.667 0.000  4.09
Li: 0.168 0.832 0.500  0.00
Li: 0.832 0.168 0.500  0.00
Li: 0.500 0.500 0.500  0.00
Hf: 0.000 0.000 0.000  0.38

Density functional theory data (PBE-GGA) for an optimized crystal structure of CrCu4Cl.

Computed properties:
space-group type: F-43m (216)
E_form (uncorrected): 0.37 eV per atom

a b c (Å): 4.994 4.994 4.994
angles (deg): 60.00 60.00 60.00
Last column: magnetic moment on the atom in μB.
Element x y z (fractional)
Cu: 0.375 0.876 0.375  0.06
Cu: 0.375 0.375 0.375  0.06
Cu: 0.876 0.375 0.375  0.06
Cu: 0.375 0.375 0.876  0.06
Cr: 0.000 0.000 0.000  3.88
Cl: 0.750 0.750 0.750  0.02

Density functional theory data (PBE-GGA) for an optimized crystal structure of TbErH2.

Computed properties:
offset from the most stable computed form: 236 meV/atom
space-group type: R3m (160)

a b c (Å): 3.478 3.478 6.174
angles (deg): 73.64 73.64 60.00
Element x y z (fractional)
Er: 0.671 0.671 0.987
H: 0.076 0.076 0.771
H: 0.262 0.262 0.214
Tb: 0.491 0.491 0.528

Density functional theory data (PBE-GGA) for an optimized crystal structure of DyErTeC.

Computed properties:
space-group type: R3m (160)
E_form (uncorrected): -0.84 eV per atom

a b c (Å): 3.791 3.792 7.403
angles (deg): 90.01 104.83 120.00
Element x y z (fractional)
Dy: 0.512 0.154 0.682
Te: 0.967 0.382 0.364
Er: 0.092 0.944 0.052
C: 0.306 0.551 0.872

Density functional theory data (PBE-GGA) for an optimized crystal structure of Hf2TiRhS.

Computed properties:
space-group type: P4/mmm (123)
E_form (uncorrected): 0.74 eV per atom

a b c (Å): 5.054 4.319 5.054
angles (deg): 90.00 90.00 90.00
Element x y z (fractional)
Hf: 0.500 0.000 0.000
Hf: 0.000 0.000 0.500
Ti: 0.000 0.000 0.000
S: 0.500 0.500 0.500
Rh: 0.000 0.500 0.000

Density functional theory data (PBE-GGA) for an optimized crystal structure of BeGaBi3.

Computed properties:
energy of formation from the pure elements: 1.044 eV/atom
offset from the most stable computed form: 577 meV/atom
space-group type: Pm-3m (221)

a b c (Å): 5.482 5.482 5.482
angles (deg): 90.00 90.00 90.00
Element x y z (fractional)
Be: 0.500 0.500 0.500
Bi: 0.000 0.000 0.500
Bi: 0.000 0.500 0.000
Bi: 0.500 0.000 0.000
Ga: 0.000 0.000 0.000

Density functional theory data (PBE-GGA) for an optimized crystal structure of AlIr2Cl.

Computed properties:
offset from the most stable computed form: 356 meV/atom
space-group type: C2/m (12)
E_form (uncorrected): 0.30 eV per atom

a b c (Å): 4.780 5.204 2.933
angles (deg): 73.39 90.51 117.50
Element x y z (fractional)
Ir: 0.000 0.000 0.000
Ir: 0.500 0.000 0.500
Al: 0.000 0.500 0.500
Cl: 0.500 0.500 0.000

Density functional theory data (PBE-GGA) for an optimized crystal structure of NdTmGa2Au4.

Computed properties:
energy of formation from the pure elements: -0.636 eV/atom
space-group type: R-3m (166)

a b c (Å): 4.929 4.929 8.387
angles (deg): 72.91 72.91 60.00
Element x y z (fractional)
Au: 0.134 0.134 0.597
Au: 0.866 0.866 0.403
Au: 0.380 0.380 0.861
Au: 0.620 0.620 0.139
Tm: 0.500 0.500 0.500
Ga: 0.748 0.748 0.755
Ga: 0.252 0.252 0.245
Nd: 0.000 0.000 0.000

| no. | magnetization (μB/f.u.) |
| --- | --- |
| 1 | 9.0 |
| 2 | 4.7 |
| 3 | 0.0 |
| 4 | 0.0 |
| 5 | 0.0 |
| 6 | 0.0 |
| 7 | 0.0 |
| 8 | 0.0 |